(1)
Below is crystalline Mn3SiMo at its relaxed geometry, with properties calculated at the GGA-PBE level.

Calculated values
ΔE_f (raw) = 1.4356 eV per atom
energy above the most stable polymorph in this dataset = 561 meV per atom
electronic total energy = -36.58 eV/cell
space-group type = Pm-3m (221)
calculated volume = 94.87 Å³ per cell

Unit cell a=4.561 b=4.561 c=4.561 alpha=90.00 beta=90.00 gamma=90.00
Positions (direct):
Mn: 0.500 0.000 0.000
Mn: 0.000 0.000 0.500
Mn: 0.000 0.500 0.000
Mo: 0.000 0.000 0.000
Si: 0.500 0.500 0.500

***

(2)
Below is crystalline CaPr7Sm3 at its relaxed geometry, with properties calculated at the GGA-PBE level.

Calculated values
energy above the most stable polymorph in this dataset = 19 meV per atom
electronic total energy = -47.26 eV/cell
ΔH_f (0 K) = 0.214 eV/atom
space-group type = C2/m (12)
calculated volume = 412.65 Å³ per cell

Unit cell a=6.655 b=7.928 c=7.928 alpha=81.88 beta=86.40 gamma=86.40
Positions (direct):
Pr: 0.744 0.920 0.574
Sm: 0.000 0.831 0.169
Pr: 0.208 0.766 0.766
Pr: 0.000 0.500 0.500
Ca: 0.500 0.500 0.500
Pr: 0.256 0.080 0.426
Pr: 0.256 0.426 0.080
Sm: 0.000 0.169 0.831
Pr: 0.792 0.234 0.234
Sm: 0.500 0.000 0.000
Pr: 0.744 0.574 0.920